(A)
The following is a PBE calculation of a geometry-optimized LaSb2TeN structure, from Alexandria via LeMat-Bulk.

Unit cell a=6.2113 b=6.2113 c=6.1312 alpha=90.00 beta=90.00 gamma=90.00
With the nearest neighbours (Å) after each atom.
Element x y z (fractional)
Sb 0.5000 0.0000 0.0000  2 La 3.11
Sb 0.0000 0.5000 0.0000  2 La 3.11
Te 0.0000 0.0000 0.5000  2 La 3.07
La 0.0000 0.0000 0.0000  2 Te 3.07, 4 Sb 3.11
N 0.5000 0.5000 0.5000  8 Sb 4.36, 4 Te 4.39

Calculated values
M_tot in μB/atom: 0.401
Symmetry: No. 123
Volume in Å³/cell: 237



(B)
The following is a PBE calculation of a geometry-optimized LaSb2TeN structure, from Alexandria via LeMat-Bulk.

Unit cell a=4.8330 b=4.8330 c=5.0312 alpha=90.00 beta=90.00 gamma=90.00
With the nearest neighbours (Å) after each atom.
Element x y z (fractional)
La 0.5000 0.5000 0.5000  4 Te 3.42, 8 Sb 3.49
Sb 0.0000 0.5000 0.0000  2 N 2.42
Sb 0.5000 0.0000 0.0000  2 N 2.42
N 0.0000 0.0000 0.0000  4 Sb 2.42, 2 Te 2.52
Te 0.0000 0.0000 0.5000  2 N 2.52

Calculated values
M_tot in μB/atom: 0.000
Symmetry: No. 123
Volume in Å³/cell: 118



Which of them is most stable, and which least? Most stable: (B); least stable: (A).



(A)
The following is a PBE calculation of a geometry-optimized LaSbTe2N structure, from Alexandria via LeMat-Bulk.

Unit cell a=6.3252 b=6.3252 c=4.0591 alpha=90.00 beta=90.00 gamma=90.00
With the nearest neighbours (Å) after each atom.
Element x y z (fractional)
Te 0.0000 0.5000 0.0000  2 La 3.16
Te 0.5000 0.0000 0.0000  2 La 3.16
N 0.0000 0.0000 0.5000  2 La 2.03
Sb 0.5000 0.5000 0.5000  8 Te 3.76, 2 Sb 4.06
La 0.0000 0.0000 0.0000  2 N 2.03

Calculated values
M_tot in μB/atom: 0.026
Symmetry: No. 123
Volume in Å³/cell: 162



(B)
The following is a PBE calculation of a geometry-optimized LaSbTe2N structure, from Alexandria via LeMat-Bulk.

Unit cell a=5.8368 b=5.8368 c=4.1060 alpha=90.00 beta=90.00 gamma=90.00
With the nearest neighbours (Å) after each atom.
Element x y z (fractional)
Te 0.0000 0.5000 0.0000  2 Sb 2.92
Te 0.5000 0.0000 0.0000  2 Sb 2.92
Sb 0.0000 0.0000 0.0000  2 N 2.05
N 0.0000 0.0000 0.5000  2 Sb 2.05
La 0.5000 0.5000 0.5000  8 Te 3.57

Calculated values
M_tot in μB/atom: 0.000
Symmetry: No. 123
Volume in Å³/cell: 140



(C)
The following is a PBE calculation of a geometry-optimized LaSbTe2N structure, from Alexandria via LeMat-Bulk.

Unit cell a=4.9288 b=4.9288 c=4.8904 alpha=90.00 beta=90.00 gamma=90.00
With the nearest neighbours (Å) after each atom.
Element x y z (fractional)
Te 0.5000 0.0000 0.0000  2 N 2.46
Te 0.0000 0.5000 0.0000  2 N 2.46
La 0.5000 0.5000 0.5000  8 Te 3.47, 4 Sb 3.49
Sb 0.0000 0.0000 0.5000  2 N 2.45
N 0.0000 0.0000 0.0000  2 Sb 2.45, 4 Te 2.46

Calculated values
M_tot in μB/atom: 0.000
Symmetry: No. 123
Volume in Å³/cell: 119



(D)
The following is a PBE calculation of a geometry-optimized LaSbTe2N structure, from Alexandria via LeMat-Bulk.

Unit cell a=6.1786 b=6.1786 c=6.2714 alpha=90.00 beta=90.00 gamma=90.00
With the nearest neighbours (Å) after each atom.
Element x y z (fractional)
La 0.0000 0.0000 0.0000  4 Te 3.09, 2 Sb 3.14
Te 0.0000 0.5000 0.0000  2 La 3.09
Te 0.5000 0.0000 0.0000  2 La 3.09
N 0.5000 0.5000 0.5000  4 Sb 4.37, 8 Te 4.40
Sb 0.0000 0.0000 0.5000  2 La 3.14

Calculated values
M_tot in μB/atom: 0.641
Symmetry: No. 123
Volume in Å³/cell: 239



Which of them is most stable, and which least? Most stable: (C); least stable: (D).



(A)
The following is a PBE calculation of a geometry-optimized LaScSeN2 structure, from Alexandria via LeMat-Bulk.

Unit cell a=4.2247 b=4.2247 c=5.2368 alpha=90.00 beta=90.00 gamma=90.00
With the nearest neighbours (Å) after each atom.
Element x y z (fractional)
N 0.0000 0.5000 0.0000  2 Sc 2.11
N 0.5000 0.0000 0.0000  2 Sc 2.11
Sc 0.0000 0.0000 0.0000  4 N 2.11
Se 0.0000 0.0000 0.5000  2 Sc 2.62
La 0.5000 0.5000 0.5000  4 Se 2.99

Calculated values
M_tot in μB/atom: 0.072
Symmetry: No. 123
Volume in Å³/cell: 93



(B)
The following is a PBE calculation of a geometry-optimized LaScSeN2 structure, from Alexandria via LeMat-Bulk.

Unit cell a=4.2600 b=4.2600 c=5.9602 alpha=90.00 beta=90.00 gamma=90.00
With the nearest neighbours (Å) after each atom.
Element x y z (fractional)
Sc 0.5000 0.5000 0.5000  4 Se 3.01
Se 0.0000 0.0000 0.5000  2 La 2.98, 4 Sc 3.01
La 0.0000 0.0000 0.0000  4 N 2.13
N 0.5000 0.0000 0.0000  2 La 2.13
N 0.0000 0.5000 0.0000  2 La 2.13

Calculated values
M_tot in μB/atom: 0.000
Symmetry: No. 123
Volume in Å³/cell: 108



Which of them is most stable, and which least? Most stable: (A); least stable: (B).



(A)
The following is a PBE calculation of a geometry-optimized La2YScN structure, from Alexandria via LeMat-Bulk.

Unit cell a=5.4218 b=5.4218 c=4.3653 alpha=90.00 beta=90.00 gamma=90.00
With the nearest neighbours (Å) after each atom.
Element x y z (fractional)
La 0.0000 0.5000 0.0000  2 N 2.71
La 0.5000 0.0000 0.0000  2 N 2.71
N 0.0000 0.0000 0.0000  2 Sc 2.18
Y 0.5000 0.5000 0.5000  8 La 3.48, 4 Sc 3.83
Sc 0.0000 0.0000 0.5000  2 N 2.18

Calculated values
M_tot in μB/atom: 0.000
Symmetry: No. 123
Volume in Å³/cell: 128



(B)
The following is a PBE calculation of a geometry-optimized La2YScN structure, from Alexandria via LeMat-Bulk.

Unit cell a=5.2603 b=5.2603 c=4.7662 alpha=90.00 beta=90.00 gamma=90.00
With the nearest neighbours (Å) after each atom.
Element x y z (fractional)
N 0.0000 0.0000 0.0000  2 Y 2.38, 4 La 2.63
Sc 0.5000 0.5000 0.5000  8 La 3.55, 4 Y 3.72
Y 0.0000 0.0000 0.5000  2 N 2.38
La 0.5000 0.0000 0.0000  2 N 2.63
La 0.0000 0.5000 0.0000  2 N 2.63

Calculated values
M_tot in μB/atom: 0.000
Symmetry: No. 123
Volume in Å³/cell: 132



Which of them is most stable, and which least? Most stable: (A); least stable: (B).



(A)
The following is a PBE calculation of a geometry-optimized LaSe2N2 structure, from Alexandria via LeMat-Bulk.

Unit cell a=4.1573 b=4.1573 c=4.9814 alpha=90.00 beta=90.00 gamma=90.00
With the nearest neighbours (Å) after each atom.
Element x y z (fractional)
N 0.5000 0.0000 0.0000  2 Se 2.08
N 0.0000 0.5000 0.0000  2 Se 2.08
Se 0.0000 0.0000 0.5000  2 Se 2.49
Se 0.0000 0.0000 0.0000  4 N 2.08
La 0.5000 0.5000 0.5000  4 Se 2.94, 8 N 3.24

Calculated values
M_tot in μB/atom: 0.000
Symmetry: No. 123
Volume in Å³/cell: 86



(B)
The following is a PBE calculation of a geometry-optimized LaSe2N2 structure, from Alexandria via LeMat-Bulk.

Unit cell a=6.1554 b=6.1554 c=4.3561 alpha=90.00 beta=90.00 gamma=90.00
With the nearest neighbours (Å) after each atom.
Element x y z (fractional)
N 0.0000 0.0000 0.5000  2 La 2.18
N 0.5000 0.5000 0.5000  8 Se 3.77
Se 0.5000 0.0000 0.0000  2 La 3.08
Se 0.0000 0.5000 0.0000  2 La 3.08
La 0.0000 0.0000 0.0000  2 N 2.18

Calculated values
M_tot in μB/atom: 1.229
Symmetry: No. 123
Volume in Å³/cell: 165



(C)
The following is a PBE calculation of a geometry-optimized LaSe2N2 structure, from Alexandria via LeMat-Bulk.

Unit cell a=4.1143 b=4.1143 c=6.9061 alpha=90.00 beta=90.00 gamma=90.00
With the nearest neighbours (Å) after each atom.
Element x y z (fractional)
Se 0.0000 0.0000 0.5000  4 Se 2.91
Se 0.5000 0.5000 0.5000  4 Se 2.91
N 0.0000 0.5000 0.0000  2 La 2.06
N 0.5000 0.0000 0.0000  2 La 2.06
La 0.0000 0.0000 0.0000  4 N 2.06

Calculated values
M_tot in μB/atom: 0.000
Symmetry: No. 123
Volume in Å³/cell: 117



Which of them is most stable, and which least? Most stable: (A); least stable: (B).



(A)
The following is a PBE calculation of a geometry-optimized LaSe3N structure, from Alexandria via LeMat-Bulk.

Unit cell a=5.9166 b=5.9166 c=5.9166 alpha=90.00 beta=90.00 gamma=90.00
With the nearest neighbours (Å) after each atom.
Element x y z (fractional)
La 0.0000 0.0000 0.0000  6 Se 2.96
Se 0.0000 0.0000 0.5000  2 La 2.96
Se 0.0000 0.5000 0.0000  2 La 2.96
Se 0.5000 0.0000 0.0000  2 La 2.96
N 0.5000 0.5000 0.5000  12 Se 4.18

Calculated values
M_tot in μB/atom: 1.200
Symmetry: No. 221
Volume in Å³/cell: 207



(B)
The following is a PBE calculation of a geometry-optimized LaSe3N structure, from Alexandria via LeMat-Bulk.

Unit cell a=4.6170 b=4.6170 c=4.6170 alpha=90.00 beta=90.00 gamma=90.00
With the nearest neighbours (Å) after each atom.
Element x y z (fractional)
La 0.5000 0.5000 0.5000  12 Se 3.26
Se 0.0000 0.0000 0.5000  2 N 2.31
Se 0.5000 0.0000 0.0000  2 N 2.31
Se 0.0000 0.5000 0.0000  2 N 2.31
N 0.0000 0.0000 0.0000  6 Se 2.31

Calculated values
M_tot in μB/atom: 0.000
Symmetry: No. 221
Volume in Å³/cell: 98



Which of them is most stable, and which least? Most stable: (B); least stable: (A).



(A)
The following is a PBE calculation of a geometry-optimized LaSeN structure, from Alexandria via LeMat-Bulk.

Unit cell a=4.2471 b=8.6322 c=9.1860 alpha=103.61 beta=90.00 gamma=90.00
With the nearest neighbours (Å) after each atom.
Element x y z (fractional)
N 0.5611 0.9859 0.9427  1 N 1.15
N 0.4389 0.0141 0.0573  1 N 1.15
N 0.9389 0.4859 0.9427  1 N 1.15
N 0.0611 0.5141 0.0573  1 N 1.15
La 0.2548 0.0832 0.3345  1 N 2.60
La 0.7548 0.4168 0.6655  1 N 2.60
La 0.7452 0.9168 0.6655  1 N 2.60
La 0.2452 0.5832 0.3345  1 N 2.60
Se 0.2510 0.6700 0.6783  5 La 3.01-3.07
Se 0.7490 0.3300 0.3217  5 La 3.01-3.07
Se 0.7510 0.8300 0.3217  5 La 3.01-3.07
Se 0.2490 0.1700 0.6783  5 La 3.01-3.07

Calculated values
M_tot in μB/atom: 0.000
Symmetry: No. 14
Volume in Å³/cell: 327



(B)
The following is a PBE calculation of a geometry-optimized LaSeN structure, from Alexandria via LeMat-Bulk.

Unit cell a=4.6207 b=5.9848 c=10.3790 alpha=90.00 beta=90.00 gamma=90.00
With the nearest neighbours (Å) after each atom.
Element x y z (fractional)
La 0.0000 0.0000 0.6299  4 N 2.63
La 0.5000 0.0000 0.1290  5 Se 2.94-3.11
La 0.5000 0.5000 0.3701  4 N 2.63
La 0.0000 0.5000 0.8710  5 Se 2.94-3.11
N 0.5000 0.1011 0.7371  1 N 1.21
N 0.0000 0.3989 0.2629  1 N 1.21
N 0.5000 0.8989 0.7371  1 N 1.21
N 0.0000 0.6011 0.2629  1 N 1.21
Se 0.5000 0.5000 0.0462  4 La 2.94-3.11, 4 N 3.28
Se 0.0000 0.0000 0.9538  4 La 2.94-3.11, 4 N 3.28
Se 0.0000 0.5000 0.5845  5 La 2.97-3.21
Se 0.5000 0.0000 0.4155  5 La 2.97-3.21

Calculated values
M_tot in μB/atom: 0.000
Symmetry: No. 59
Volume in Å³/cell: 287



Which of them is most stable, and which least? Most stable: (A); least stable: (B).



(A)
The following is a PBE calculation of a geometry-optimized LaSiSe2N structure, from Alexandria via LeMat-Bulk.

Unit cell a=5.8340 b=5.8340 c=4.2347 alpha=90.00 beta=90.00 gamma=90.00
With the nearest neighbours (Å) after each atom.
Element x y z (fractional)
La 0.0000 0.0000 0.0000  2 N 2.12
Si 0.5000 0.5000 0.5000  8 Se 3.60
Se 0.5000 0.0000 0.0000  2 La 2.92
Se 0.0000 0.5000 0.0000  2 La 2.92
N 0.0000 0.0000 0.5000  2 La 2.12

Calculated values
M_tot in μB/atom: 0.242
Symmetry: No. 123
Volume in Å³/cell: 144



(B)
The following is a PBE calculation of a geometry-optimized LaSiSe2N structure, from Alexandria via LeMat-Bulk.

Unit cell a=5.1545 b=5.1545 c=3.5526 alpha=90.00 beta=90.00 gamma=90.00
With the nearest neighbours (Å) after each atom.
Element x y z (fractional)
La 0.5000 0.5000 0.5000  8 Se 3.13
Se 0.0000 0.5000 0.0000  2 Si 2.58
Se 0.5000 0.0000 0.0000  2 Si 2.58
N 0.0000 0.0000 0.5000  2 Si 1.78
Si 0.0000 0.0000 0.0000  2 N 1.78

Calculated values
M_tot in μB/atom: 0.000
Symmetry: No. 123
Volume in Å³/cell: 94



Which of them is most stable, and which least? Most stable: (B); least stable: (A).